First-principles (GGA-PBE) data for a relaxed Sn2BiWS crystal, as listed in the Alexandria database.

Output
DOS at the Fermi energy, states/eV/atom: 0.872
Energy relative to the elements, uncorrected, eV/atom: 0.720
Crystal system: tetragonal

a b c (Å): 5.4832 5.4832 4.4596
angles (deg): 90.00 90.00 90.00
Closest atoms and distances in Å follow each position.
Space group P4/mmm (No. 123)
Inequivalent atoms, fractional coordinates:
Sn1 0.0000 0.5000 0.0000 x2  2 S 2.74
Bi1 0.0000 0.0000 0.5000 x1  8 Sn 3.53, 4 W 3.88
W1 0.5000 0.5000 0.5000 x1  2 S 2.23
S1 0.5000 0.5000 0.0000 x1  2 W 2.23


First-principles (GGA-PBE) data for a relaxed RhPbSe crystal, as listed in the Alexandria database.

Output
DOS at the Fermi energy, states/eV/atom: 0.789
Energy relative to the elements, uncorrected, eV/atom: -0.123
Excess energy over the best structure of this formula in the dataset, eV/atom: 0.159
Crystal system: cubic

a b c (Å): 6.4371 6.4371 6.4371
angles (deg): 90.00 90.00 90.00
Closest atoms and distances in Å follow each position.
Space group F-43m (No. 216)
Inequivalent atoms, fractional coordinates:
Rh1 0.0000 0.0000 0.0000 x4  4 Se 2.79, 4 Pb 2.79
Pb1 0.2500 0.2500 0.2500 x4  4 Rh 2.79
Se1 0.2500 0.2500 0.7500 x4  4 Rh 2.79


First-principles (GGA-PBE) data for a relaxed Nd12Rh3C5 crystal, as listed in the Alexandria database.

Output
DOS at the Fermi energy, states/eV/atom: 0.644
Crystal system: cubic
Energy relative to the elements, eV/atom: -0.116

a b c (Å): 15.9684 15.9684 15.9684
angles (deg): 90.00 90.00 90.00
Closest atoms and distances in Å follow each position.
Space group Ia-3d (No. 230)
Inequivalent atoms, fractional coordinates:
Nd1 0.0268 0.0562 0.6513 x96  2 C 2.40-2.61
Rh1 0.0000 0.2500 0.1250 x24  8 Nd 3.03-3.15
C1 0.0000 0.0000 0.0000 x16  6 Nd 2.61
C2 0.0000 0.2500 0.3750 x24  4 Nd 2.40


First-principles (GGA-PBE) data for a relaxed Mn2InPb crystal, as listed in the Alexandria database.

Output
DOS at the Fermi energy, states/eV/atom: 0.939
Excess energy over the best structure of this formula in the dataset, eV/atom: 0.335
Crystal system: tetragonal
Energy relative to the elements, eV/atom: 0.611

a b c (Å): 7.5813 7.5813 6.0517
angles (deg): 90.00 90.00 90.00
Closest atoms and distances in Å follow each position.
Space group I-42d (No. 122)
Inequivalent atoms, fractional coordinates:
Mn1 0.2453 0.2500 0.1250 x8  2 In 2.76, 2 Pb 2.81, 2 Mn 3.03
In1 0.0000 0.0000 0.0000 x4  4 Mn 2.76, 2 Pb 3.03
Pb1 0.0000 0.0000 0.5000 x4  4 Mn 2.81, 2 In 3.03